# NdAlZn2Au PBE-GGA relaxed
data_NdAlZn2Au
_cell_length_a 4.338
_cell_length_b 4.398
_cell_length_c 6.090
_cell_angle_alpha 111.17
_cell_angle_beta 110.86
_cell_angle_gamma 90.00
_symmetry_space_group_name_H-M 'P 1'
_symmetry_Int_Tables_number 1
_symmetry_space_group_name_Hall 'P 1'
loop_
_atom_site_label
_atom_site_fract_x
_atom_site_fract_y
_atom_site_fract_z
Nd1 0.443 0.443 0.886
Au1 0.196 0.696 0.391
Zn1 0.692 0.192 0.384
Zn2 0.059 0.059 0.117
Al1 0.823 0.823 0.646
# formation energy from the elements = -2.4 eV/f.u.
# calculated total energy = -0.123 Ha/atom
# theoretical density = 8276 kg/m3
# magnetic moment = 0.00 Bohr magnetons per cell
# D(E_F) = 2.72 states/eV/cell